# 1
TeSeCl: optimized geometry, GGA-PBE.

Output
E above lowest polymorph: 362.5 meV per atom
mass density: 4.9 g cm⁻³
ΔE_f (raw): 0.11 eV per atom
V: 27.5 Å³ per atom
uncorrected energy: -8.138 eV per cell

Cell lengths 4.889, 4.889, 4.889 Å; angles 60.00, 60.00, 60.00 degrees
Fractional positions:
Cl  0.000  0.000  0.000
Se  0.500  0.500  0.500
Te  0.750  0.750  0.750


# 2
Rb3PuCl7: optimized geometry, GGA-PBE.

Output
mass density: 3.2 g cm⁻³
ΔE_f (raw): -1.82 eV per atom
V: 35.6 Å³ per atom
uncorrected energy: -50.193 eV per cell

Cell lengths 7.682, 7.682, 8.430 Å; angles 63.15, 63.15, 84.72 degrees
Site moments in Bohr magnetons follow the coordinates.
Fractional positions:
Rb  0.773  0.230  0.485  0.00
Rb  0.511  0.511  0.913  0.00
Rb  0.230  0.773  0.485  0.00
Pu  0.962  0.962  0.032  4.36
Cl  0.142  0.142  0.132  -0.05
Cl  0.645  0.119  0.210  -0.05
Cl  0.974  0.306  0.739  -0.06
Cl  0.119  0.645  0.210  -0.05
Cl  0.651  0.651  0.422  -0.02
Cl  0.306  0.974  0.739  -0.06
Cl  0.812  0.812  0.884  -0.04


# 3
PaCo2TcP2: optimized geometry, GGA-PBE.

Output
mass density: 10.0 g cm⁻³
V: 14.1 Å³ per atom
uncorrected energy: -49.056 eV per cell

Cell lengths 3.962, 3.962, 6.222 Å; angles 90.00, 90.00, 120.00 degrees
Fractional positions:
Pa  0.000  0.000  0.000
Co  0.667  0.333  0.285
Co  0.333  0.667  0.715
Tc  0.000  0.000  0.500
P  0.667  0.333  0.689
P  0.333  0.667  0.311


# 4
Ac2TeRh: optimized geometry, GGA-PBE.

Output
E above lowest polymorph: 39.7 meV per atom
mass density: 8.4 g cm⁻³
ΔE_f (raw): -1.05 eV per atom
V: 33.9 Å³ per atom
uncorrected energy: -22.920 eV per cell

Cell lengths 4.399, 4.399, 8.489 Å; angles 74.98, 74.98, 60.00 degrees
Fractional positions:
Ac  0.069  0.069  0.792
Ac  0.264  0.264  0.209
Te  0.500  0.500  0.501
Rh  0.667  0.667  0.998


# 5
PmCd2Hg4: optimized geometry, GGA-PBE.

Output
E above lowest polymorph: 0.0 meV per atom
mass density: 10.8 g cm⁻³
V: 25.7 Å³ per atom
uncorrected energy: -9.255 eV per cell

Cell lengths 5.028, 5.028, 8.725 Å; angles 73.25, 73.25, 60.00 degrees
Fractional positions:
Cd  0.746  0.746  0.761
Cd  0.254  0.254  0.239
Hg  0.866  0.866  0.401
Hg  0.134  0.134  0.599
Hg  0.611  0.611  0.166
Hg  0.389  0.389  0.834
Pm  0.000  0.000  0.000


# 6
AlSiTe2: optimized geometry, GGA-PBE.

Output
E above lowest polymorph: 12.9 meV per atom
mass density: 4.7 g cm⁻³
ΔE_f (raw): -0.05 eV per atom
V: 27.4 Å³ per atom
uncorrected energy: -15.659 eV per cell

Cell lengths 8.596, 8.596, 8.596 Å; angles 26.26, 26.26, 26.26 degrees
Fractional positions:
Si  0.756  0.756  0.756
Te  0.028  0.028  0.028
Te  0.221  0.221  0.221
Al  0.495  0.495  0.495


# 7
Al2TlCr: optimized geometry, GGA-PBE.

Output
E above lowest polymorph: 159.8 meV per atom
mass density: 7.3 g cm⁻³
V: 17.8 Å³ per atom
uncorrected energy: -18.176 eV per cell

Cell lengths 3.128, 3.900, 5.821 Å; angles 90.00, 90.00, 90.00 degrees
Site moments in Bohr magnetons follow the coordinates.
Fractional positions:
Cr  0.000  0.000  0.462  2.56
Tl  0.500  0.500  0.747  -0.04
Al  0.000  0.000  0.024  -0.02
Al  0.500  0.500  0.267  -0.05


# 8
RbCoTe2: optimized geometry, GGA-PBE.

Output
mass density: 5.1 g cm⁻³
ΔE_f (raw): -0.34 eV per atom
V: 32.8 Å³ per atom
uncorrected energy: -31.406 eV per cell

Cell lengths 7.962, 7.962, 6.988 Å; angles 55.27, 55.27, 90.00 degrees
Fractional positions:
Te  0.502  0.125  0.250
Te  0.248  0.625  0.250
Te  0.375  0.498  0.750
Te  0.875  0.752  0.750
Co  0.500  0.500  0.000
Co  0.250  0.750  0.500
Rb  0.000  0.000  0.000
Rb  0.750  0.250  0.500